[1]
# Rb6PaF12 (PBE, relaxed)
data_Rb6PaF12
_chemical_formula_sum 'Rb6 Pa1 F12'
_space_group_name_H-M_alt 'P 1'
_space_group_IT_number 1
_space_group_name_Hall 'P 1'
_cell_length_a 8.023
_cell_length_b 8.023
_cell_length_c 8.023
_cell_angle_alpha 99.31
_cell_angle_beta 99.31
_cell_angle_gamma 99.31
loop_
_atom_site_label
_atom_site_fract_x
_atom_site_fract_y
_atom_site_fract_z
_atom_site_occupancy
Rb1 0.598 0.149 0.338 1
Rb2 0.149 0.338 0.598 1
Rb3 0.662 0.402 0.851 1
Rb4 0.851 0.662 0.402 1
Rb5 0.402 0.851 0.662 1
Rb6 0.338 0.598 0.149 1
F1 0.589 0.829 0.398 1
F2 0.829 0.398 0.589 1
F3 0.743 0.026 0.916 1
F4 0.171 0.602 0.411 1
F5 0.257 0.974 0.084 1
F6 0.411 0.171 0.602 1
F7 0.398 0.589 0.829 1
F8 0.974 0.084 0.257 1
F9 0.602 0.411 0.171 1
F10 0.026 0.916 0.743 1
F11 0.084 0.257 0.974 1
F12 0.916 0.743 0.026 1
Pa1 0.000 0.000 0.000 1
# Symmetry: R-3 (148)
# E_tot (eV/atom): -4.926
# Total moment (μB per cell): 1.20
# Theoretical density (g/cm³): 3.270
# Formation energy (no corrections) (eV per atom): -2.939



[2]
# RbPaF6 (PBE, relaxed)
data_RbPaF6
_chemical_formula_sum 'Rb1 Pa1 F6'
_space_group_name_H-M_alt 'P 1'
_space_group_IT_number 1
_space_group_name_Hall 'P 1'
_cell_length_a 5.912
_cell_length_b 5.912
_cell_length_c 6.609
_cell_angle_alpha 63.43
_cell_angle_beta 63.43
_cell_angle_gamma 60.00
loop_
_atom_site_label
_atom_site_fract_x
_atom_site_fract_y
_atom_site_fract_z
_atom_site_occupancy
F1 0.405 0.909 0.777 1
F2 0.091 0.595 0.223 1
F3 0.091 0.091 0.223 1
F4 0.595 0.091 0.223 1
F5 0.909 0.405 0.777 1
F6 0.909 0.909 0.777 1
Rb1 0.500 0.500 0.500 1
Pa1 0.000 0.000 0.000 1
# Symmetry: R-3m (166)
# E_tot (eV/atom): -6.292
# Total moment (μB per cell): 0.00
# Theoretical density (g/cm³): 4.173
# Formation energy (no corrections) (eV per atom): -3.580



[3]
# RbPaF4 (PBE, relaxed)
data_RbPaF4
_chemical_formula_sum 'Rb1 Pa1 F4'
_space_group_name_H-M_alt 'P 1'
_space_group_IT_number 1
_space_group_name_Hall 'P 1'
_cell_length_a 7.015
_cell_length_b 7.015
_cell_length_c 6.754
_cell_angle_alpha 121.29
_cell_angle_beta 121.29
_cell_angle_gamma 90.00
loop_
_atom_site_label
_atom_site_fract_x
_atom_site_fract_y
_atom_site_fract_z
_atom_site_occupancy
F1 0.795 0.428 0.247 1
F2 0.452 0.819 0.247 1
F3 0.181 0.205 0.753 1
F4 0.572 0.548 0.753 1
Pa1 0.500 0.500 0.000 1
Rb1 0.750 0.250 0.500 1
# Symmetry: I-4 (82)
# E_tot (eV/atom): -6.006
# Total moment (μB per cell): 1.89
# Theoretical density (g/cm³): 2.890
# Formation energy (no corrections) (eV per atom): -3.015



[4]
# Rb2PaF7 (PBE, relaxed)
data_Rb2PaF7
_chemical_formula_sum 'Rb4 Pa2 F14'
_space_group_name_H-M_alt 'P 1'
_space_group_IT_number 1
_space_group_name_Hall 'P 1'
_cell_length_a 7.993
_cell_length_b 7.993
_cell_length_c 8.401
_cell_angle_alpha 59.15
_cell_angle_beta 59.15
_cell_angle_gamma 52.54
loop_
_atom_site_label
_atom_site_fract_x
_atom_site_fract_y
_atom_site_fract_z
_atom_site_occupancy
F1 0.053 0.285 0.510 1
F2 0.898 0.319 0.208 1
F3 0.058 0.798 0.086 1
F4 0.656 0.344 0.750 1
F5 0.202 0.942 0.414 1
F6 0.344 0.656 0.250 1
F7 0.715 0.947 0.990 1
F8 0.798 0.058 0.586 1
F9 0.681 0.102 0.292 1
F10 0.102 0.681 0.792 1
F11 0.947 0.715 0.490 1
F12 0.319 0.898 0.708 1
F13 0.285 0.053 0.010 1
F14 0.942 0.202 0.914 1
Pa1 0.029 0.971 0.250 1
Pa2 0.971 0.029 0.750 1
Rb1 0.337 0.318 0.609 1
Rb2 0.682 0.663 0.891 1
Rb3 0.318 0.337 0.109 1
Rb4 0.663 0.682 0.391 1
# Symmetry: C2/c (15)
# E_tot (eV/atom): -5.958
# Total moment (μB per cell): 0.00
# Theoretical density (g/cm³): 5.084
# Formation energy (no corrections) (eV per atom): -3.505



[5]
# RbPa2F11 (PBE, relaxed)
data_RbPa2F11
_chemical_formula_sum 'Rb2 Pa4 F22'
_space_group_name_H-M_alt 'P 1'
_space_group_IT_number 1
_space_group_name_Hall 'P 1'
_cell_length_a 8.620
_cell_length_b 9.512
_cell_length_c 9.512
_cell_angle_alpha 70.32
_cell_angle_beta 63.06
_cell_angle_gamma 63.06
loop_
_atom_site_label
_atom_site_fract_x
_atom_site_fract_y
_atom_site_fract_z
_atom_site_occupancy
F1 0.368 0.306 0.464 1
F2 0.973 0.817 0.423 1
F3 0.865 0.783 0.217 1
F4 0.365 0.717 0.283 1
F5 0.632 0.694 0.536 1
F6 0.868 0.964 0.806 1
F7 0.500 0.500 0.500 1
F8 0.363 0.806 0.964 1
F9 0.027 0.183 0.577 1
F10 0.473 0.923 0.317 1
F11 0.713 0.683 0.077 1
F12 0.527 0.077 0.683 1
F13 0.137 0.536 0.694 1
F14 0.787 0.423 0.817 1
F15 0.635 0.283 0.717 1
F16 0.287 0.317 0.923 1
F17 0.213 0.577 0.183 1
F18 0.132 0.036 0.194 1
F19 0.637 0.194 0.036 1
F20 0.000 0.000 0.000 1
F21 0.135 0.217 0.783 1
F22 0.863 0.464 0.306 1
Pa1 0.139 0.819 0.181 1
Pa2 0.361 0.319 0.681 1
Pa3 0.861 0.181 0.819 1
Pa4 0.639 0.681 0.319 1
Rb1 0.250 0.250 0.250 1
Rb2 0.750 0.750 0.750 1
# Symmetry: Ibam (72)
# E_tot (eV/atom): -6.616
# Total moment (μB per cell): 0.00
# Theoretical density (g/cm³): 4.110
# Formation energy (no corrections) (eV per atom): -3.720



[6]
# Rb2PaS3F3 (PBE, relaxed)
data_Rb2PaS3F3
_chemical_formula_sum 'Rb2 Pa1 S3 F3'
_space_group_name_H-M_alt 'P 1'
_space_group_IT_number 1
_space_group_name_Hall 'P 1'
_cell_length_a 3.622
_cell_length_b 8.479
_cell_length_c 8.479
_cell_angle_alpha 120.00
_cell_angle_beta 90.00
_cell_angle_gamma 90.00
loop_
_atom_site_label
_atom_site_fract_x
_atom_site_fract_y
_atom_site_fract_z
_atom_site_occupancy
F1 0.500 0.174 0.174 1
F2 0.500 0.826 0.000 1
F3 0.500 0.000 0.826 1
S1 0.000 0.327 0.000 1
S2 0.000 0.000 0.327 1
S3 0.000 0.673 0.673 1
Rb1 0.500 0.333 0.667 1
Rb2 0.500 0.667 0.333 1
Pa1 0.000 0.000 0.000 1
# Symmetry: P-62m (189)
# E_tot (eV/atom): -5.150
# Total moment (μB per cell): 0.00
# Theoretical density (g/cm³): 4.088
# Formation energy (no corrections) (eV per atom): -1.880



[7]
# Rb3Pa2S5F2 (PBE, relaxed)
data_Rb3Pa2S5F2
_chemical_formula_sum 'Rb3 Pa2 S5 F2'
_space_group_name_H-M_alt 'P 1'
_space_group_IT_number 1
_space_group_name_Hall 'P 1'
_cell_length_a 5.372
_cell_length_b 5.372
_cell_length_c 12.914
_cell_angle_alpha 102.00
_cell_angle_beta 102.00
_cell_angle_gamma 90.00
loop_
_atom_site_label
_atom_site_fract_x
_atom_site_fract_y
_atom_site_fract_z
_atom_site_occupancy
Rb1 0.000 0.000 0.000 1
Rb2 0.809 0.809 0.619 1
Rb3 0.191 0.191 0.381 1
F1 0.696 0.696 0.392 1
F2 0.304 0.304 0.608 1
S1 0.110 0.610 0.220 1
S2 0.500 0.500 0.000 1
S3 0.890 0.390 0.780 1
S4 0.390 0.890 0.780 1
S5 0.610 0.110 0.220 1
Pa1 0.607 0.607 0.214 1
Pa2 0.393 0.393 0.786 1
# Symmetry: I4/mmm (139)
# E_tot (eV/atom): -5.854
# Total moment (μB per cell): 1.09
# Theoretical density (g/cm³): 4.274
# Formation energy (no corrections) (eV per atom): -1.998



[8]
# Rb2PaSe3F3 (PBE, relaxed)
data_Rb2PaSe3F3
_chemical_formula_sum 'Rb2 Pa1 Se3 F3'
_space_group_name_H-M_alt 'P 1'
_space_group_IT_number 1
_space_group_name_Hall 'P 1'
_cell_length_a 3.580
_cell_length_b 8.965
_cell_length_c 8.965
_cell_angle_alpha 120.00
_cell_angle_beta 90.00
_cell_angle_gamma 90.00
loop_
_atom_site_label
_atom_site_fract_x
_atom_site_fract_y
_atom_site_fract_z
_atom_site_occupancy
Se1 0.000 0.671 0.671 1
Se2 0.000 0.000 0.329 1
Se3 0.000 0.329 0.000 1
Rb1 0.500 0.333 0.667 1
Rb2 0.500 0.667 0.333 1
Pa1 0.000 0.000 0.000 1
F1 0.500 0.000 0.836 1
F2 0.500 0.164 0.164 1
F3 0.500 0.836 0.000 1
# Symmetry: P-62m (189)
# E_tot (eV/atom): -4.984
# Total moment (μB per cell): 0.00
# Theoretical density (g/cm³): 4.637
# Formation energy (no corrections) (eV per atom): -1.929